1.
# Pr2MgP3Rh4, optimized geometry, DFT PBE
# - Formation enthalpy at 0 K: -0.99 eV per atom
# - Energy: -6.670 eV per atom
# - N(E_F): 5.341 states/eV/cell
# - Space group: P-4m2 (115)
data_Pr2MgP3Rh4
_chemical_formula_sum 'Pr2 Mg1 P3 Rh4'
_cell_length_a 4.100
_cell_length_b 4.100
_cell_length_c 10.309
_cell_angle_alpha 90.00
_cell_angle_beta 90.00
_cell_angle_gamma 90.00
_space_group_name_H-M_alt 'P 1'
_space_group_IT_number 1
loop_
_space_group_symop_operation_xyz
'x,y,z'
loop_
_atom_site_label
_atom_site_type_symbol
_atom_site_fract_x
_atom_site_fract_y
_atom_site_fract_z
Rh1 Rh 0.500 0.500 0.000
Rh2 Rh 0.500 0.000 0.643
P1 P 0.500 0.000 0.869
Rh3 Rh 0.000 0.500 0.357
Mg1 Mg 0.500 0.500 0.500
Pr1 Pr 0.000 0.500 0.755
Pr2 Pr 0.500 0.000 0.245
P2 P 0.000 0.000 0.500
P3 P 0.000 0.500 0.131
Rh4 Rh 0.000 0.000 0.000

2.
# Sr2TaTe, optimized geometry, DFT PBE
# - Formation energy (no corrections): 0.052 eV/atom
# - Energy: -4.538 eV per atom
# - N(E_F): 3.681 states/eV/cell
# - Space group: P4mm (99)
data_Sr2TaTe
_chemical_formula_sum 'Sr2 Ta1 Te1'
_cell_length_a 3.733
_cell_length_b 3.733
_cell_length_c 9.380
_cell_angle_alpha 90.00
_cell_angle_beta 90.00
_cell_angle_gamma 90.00
_space_group_name_H-M_alt 'P 1'
_space_group_IT_number 1
loop_
_space_group_symop_operation_xyz
'x,y,z'
loop_
_atom_site_label
_atom_site_type_symbol
_atom_site_fract_x
_atom_site_fract_y
_atom_site_fract_z
Sr1 Sr 0.500 0.500 0.316
Sr2 Sr 0.000 0.000 0.934
Ta1 Ta 0.000 0.000 0.564
Te1 Te 0.500 0.500 0.687